Entry 1:
BaZr2Cd2 | meta-GGA SCAN | single point on PBEsol structure

DFT formation energy	8.533	kcal/mol of atoms

Geometry as POSCAR:
```
BaZr2Cd2
1.0
4.521 0.000 0.000
0.000 4.521 0.000
-2.260 -2.260 6.621
Ba Zr Cd
1 2 2
Direct
0.000 0.000 0.000 Ba
0.391 0.391 0.783 Zr
0.609 0.609 0.217 Zr
0.250 0.750 0.500 Cd
0.750 0.250 0.500 Cd
```

=====

Entry 2:
BaZrCd2 | meta-GGA SCAN | single point on PBEsol structure

energy above the most stable polymorph in this dataset	0.311	eV/atom
DFT formation energy	8.032	kcal/mol of atoms

Geometry as POSCAR:
```
BaZrCd2
1.0
5.277 0.000 0.000
2.638 4.570 0.000
2.638 1.523 4.308
Ba Cd Zr
1 2 1
Direct
0.500 0.500 0.500 Ba
0.000 0.000 0.000 Cd
0.750 0.750 0.750 Cd
0.250 0.250 0.250 Zr
```